# 1
{
  "formula": "CePr2ThSb4",
  "functional": "PBE-GGA",
  "state": "relaxed",
  "rho_g_cm3": 7.194,
  "e_form_raw_mev_per_atom": -1103.9,
  "lattice": [[-0.7993, -0.0327, 4.4624], [3.2722, -7.1126, 0.5341], [5.5107, 5.4971, 1.0274]],
  "species": ["Sb", "Sb", "Ce", "Sb", "Pr", "Sb", "Th", "Pr"],
  "frac_coords": [[0.0000, 0.2514, 0.7544], [0.0000, 0.7486, 0.2456], [0.5000, 0.5000, 0.0000], [0.5000, 0.7512, 0.7540], [0.5000, 0.0000, 0.5000], [0.5000, 0.2488, 0.2460], [0.0000, 0.0000, 0.0000], [0.0000, 0.5000, 0.5000]]
}

---

# 2
{
  "formula": "CaMg2Br",
  "functional": "PBE-GGA",
  "state": "relaxed",
  "rho_g_cm3": 2.168,
  "de_polymorph_mev_per_atom": 533,
  "e_form_raw_mev_per_atom": -21.6,
  "lattice": [[3.0227, -1.3852, 4.5973], [-1.7484, 1.6362, 5.1436], [-2.0092, -3.8356, 3.6663]],
  "species": ["Br", "Ca", "Mg", "Mg"],
  "frac_coords": [[0.5000, 0.5000, 0.5000], [0.0000, 0.0000, 0.0000], [0.7500, 0.7500, 0.7500], [0.2500, 0.2500, 0.2500]]
}

---

| no. | volume (Å³ per cell) |
| --- | --- |
| 1 | 263.4 |
| 2 | 129.1 |